Computed, not measured: a geometry-optimized K2CrO4 structure at the PBE with a Hubbard U level of DFT.

The structure in POSCAR format:
```
K2CrO4
1.0
1.006 2.002 -5.034
1.009 -5.630 -2.038
-7.627 -1.412 0.127
O Cr K
8 2 4
Cartesian
-4.527 -3.448 -2.251 O
-6.586 -5.215 -2.419 O
-3.676 -3.564 -5.541 O
-1.084 -1.591 -4.693 O
0.974 0.176 -4.526 O
-1.935 -1.476 -1.404 O
-4.078 -5.957 -3.159 O
-1.534 0.917 -3.785 O
-0.668 0.008 -4.876 Cr
-4.944 -5.048 -2.069 Cr
1.364 -2.806 -5.141 K
-3.780 -1.012 -3.597 K
-6.975 -2.234 -1.803 K
-1.832 -4.027 -3.348 K
```

Results
The value obtained for the density of states at the Fermi level is 0.00 states/eV/cell. The theoretical density is 2.6 g/cm³. The total energy comes out at -0.2159 hartree per atom.